No. 1
! Th2Zn5Si | Alexandria via LeMat-Bulk | PBE | optimized geometry; values from VASP
&SYSTEM
  ibrav = 0, nat = 16, ntyp = 3
/
ATOMIC_SPECIES
Th 232.04 Th.upf
Zn 65.41 Zn.upf
Si 28.09 Si.upf
CELL_PARAMETERS angstrom
2.2085 -8.0417 0.0000
2.2085 8.0417 0.0000
0.0000 0.0000 8.8242
ATOMIC_POSITIONS angstrom
Th 0.0000 0.0000 0.0000
Th 0.0000 0.0000 4.4121
Th 2.2085 4.7970 6.6182
Th 2.2085 -4.7970 2.2061
Zn 2.2085 5.0660 0.9301
Zn 2.2085 5.0660 3.4820
Zn 2.2085 2.4045 0.1836
Zn 2.2085 2.4045 4.2285
Zn 2.2085 1.5152 6.6182
Zn 2.2085 -1.5152 2.2061
Zn 2.2085 -2.4045 4.5957
Zn 2.2085 -2.4045 8.6406
Zn 2.2085 -5.0660 5.3423
Zn 2.2085 -5.0660 7.8941
Si 2.2085 0.9317 2.2061
Si 2.2085 -0.9317 6.6182
! Size of the total moment, μB/cell: 0.0
! ΔE_f (raw), eV per atom: -0.3972

---

No. 2
! TbPm2Th4 | Alexandria via LeMat-Bulk | PBE | optimized geometry; values from VASP
&SYSTEM
  ibrav = 0, nat = 7, ntyp = 3
/
ATOMIC_SPECIES
Tb 158.93 Tb.upf
Pm 145.00 Pm.upf
Th 232.04 Th.upf
CELL_PARAMETERS angstrom
1.7910 -18.1813 0.0000
1.7910 18.1813 0.0000
0.0000 0.0000 3.5829
ATOMIC_POSITIONS angstrom
Tb 0.0000 0.0000 0.0000
Pm 1.7910 7.4967 1.7914
Pm 1.7910 -7.4967 1.7914
Th 1.7910 13.1763 0.0000
Th 1.7910 2.5707 1.7914
Th 1.7910 -2.5707 1.7914
Th 1.7910 -13.1763 0.0000
! Size of the total moment, μB/cell: 0.0
! Total DFT energy (no corrections), eV/atom: -6.18

---

No. 3
! Sm3Pa2Co3 | Alexandria via LeMat-Bulk | PBE | optimized geometry; values from VASP
&SYSTEM
  ibrav = 0, nat = 32, ntyp = 3
/
ATOMIC_SPECIES
Sm 150.36 Sm.upf
Pa 231.04 Pa.upf
Co 58.93 Co.upf
CELL_PARAMETERS angstrom
6.4409 0.0000 0.0000
0.0000 14.1026 0.0000
0.0000 0.0000 8.0031
ATOMIC_POSITIONS angstrom
Sm 0.0287 1.7673 1.6400
Sm 0.0287 5.2839 1.6400
Sm 1.4799 10.5769 3.1418
Sm 1.7405 3.5256 7.1433
Sm 3.1917 8.8186 5.6416
Sm 3.1917 12.3352 5.6416
Sm 3.2491 1.7673 2.3616
Sm 3.2491 5.2839 2.3616
Sm 4.7004 10.5769 0.8598
Sm 4.9609 3.5256 4.8614
Sm 6.4122 8.8186 6.3631
Sm 6.4122 12.3352 6.3631
Pa 1.1800 1.1304 4.8936
Pa 1.1800 5.9209 4.8936
Pa 2.0404 8.1817 0.8920
Pa 2.0404 12.9722 0.8920
Pa 4.4005 1.1304 7.1111
Pa 4.4005 5.9209 7.1111
Pa 5.2608 8.1817 3.1096
Pa 5.2608 12.9722 3.1096
Co 1.4831 3.5256 4.2010
Co 1.5760 0.6030 7.2500
Co 1.5760 6.4483 7.2500
Co 1.6444 7.6543 3.2485
Co 1.6444 13.4996 3.2485
Co 1.7373 10.5769 0.1994
Co 4.7036 3.5256 7.8037
Co 4.7965 0.6030 4.7546
Co 4.7965 6.4483 4.7546
Co 4.8648 7.6543 0.7531
Co 4.8648 13.4996 0.7531
Co 4.9577 10.5769 3.8021
! Size of the total moment, μB/cell: 0.0
! Total DFT energy (no corrections), eV/atom: -6.98

---

No. 4
! Mg2FeOs | Alexandria via LeMat-Bulk | PBE | optimized geometry; values from VASP
&SYSTEM
  ibrav = 0, nat = 4, ntyp = 3
/
ATOMIC_SPECIES
Mg 24.30 Mg.upf
Fe 55.84 Fe.upf
Os 190.23 Os.upf
CELL_PARAMETERS angstrom
3.2966 0.0000 0.0000
0.0000 4.2428 0.0000
0.0000 0.0000 4.3225
ATOMIC_POSITIONS angstrom
Mg 0.0000 0.0000 0.0000
Mg 1.6483 2.1214 0.0000
Fe 0.0000 2.1214 2.1612
Os 1.6483 0.0000 2.1612
! Size of the total moment, μB/cell: 2.8
! E above lowest polymorph, eV per atom: 0.131

---

No. 5
! BeCoTeI2 | Alexandria via LeMat-Bulk | PBE | optimized geometry; values from VASP
&SYSTEM
  ibrav = 0, nat = 5, ntyp = 4
/
ATOMIC_SPECIES
Be 9.01 Be.upf
Co 58.93 Co.upf
Te 127.60 Te.upf
I 126.90 I.upf
CELL_PARAMETERS angstrom
5.3892 0.0000 0.0000
0.0000 5.3892 0.0000
0.0000 0.0000 4.8514
ATOMIC_POSITIONS angstrom
Be 0.0000 0.0000 0.0000
Co 2.6946 2.6946 2.4257
Te 2.6946 2.6946 0.0000
I 0.0000 2.6946 2.4257
I 2.6946 0.0000 2.4257
! Size of the total moment, μB/cell: 0.4
! E above lowest polymorph, eV per atom: 0.000
! ΔE_f (raw), eV per atom: 0.8093

---

No. 6
! CaNd6Dy8 | Alexandria via LeMat-Bulk | PBE | optimized geometry; values from VASP
&SYSTEM
  ibrav = 0, nat = 15, ntyp = 3
/
ATOMIC_SPECIES
Ca 40.08 Ca.upf
Nd 144.24 Nd.upf
Dy 162.50 Dy.upf
CELL_PARAMETERS angstrom
9.9423 0.0000 0.0000
-4.9712 8.6103 0.0000
0.0000 0.0000 6.2101
ATOMIC_POSITIONS angstrom
Ca 0.0000 0.0000 0.0000
Nd -2.1023 5.9470 0.3557
Nd 0.8721 3.8162 0.3557
Nd 3.7409 1.1528 5.8544
Nd 1.2302 7.4574 0.3557
Nd 4.0991 4.7941 5.8544
Nd 7.0735 2.6633 5.8544
Dy -1.4801 2.9129 2.6967
Dy -1.7084 8.4356 2.6967
Dy 0.0000 5.7402 3.5922
Dy 1.7827 2.7382 3.5135
Dy 3.1885 5.8720 2.6967
Dy 4.9712 2.8701 2.6179
Dy 6.6796 0.1747 3.5135
Dy 6.4512 5.6973 3.5135
! Size of the total moment, μB/cell: 0.0
! Total DFT energy (no corrections), eV/atom: -4.28